(1)
DFT (PBE-GGA) results for a relaxed structure of Tm2AlAu4.

## Properties
Space-group type ... R-3m

abc: 4.4229 4.4229 9.4933
angles: 76.53 76.53 60.00
With the nearest neighbours (Å) after each atom.
Fractional coordinates of all 7 atoms:
Tm  0.7520  0.7520  0.7441  8 Au 2.94-3.16
Tm  0.2480  0.2480  0.2559  8 Au 2.94-3.16
Au  0.8613  0.8613  0.4161  4 Tm 2.94-3.00, 3 Au 2.98
Au  0.1387  0.1387  0.5839  4 Tm 2.94-3.00, 3 Au 2.98
Au  0.6369  0.6369  0.0893  3 Al 2.68, 3 Tm 2.97
Au  0.3631  0.3631  0.9107  3 Al 2.68, 3 Tm 2.97
Al  0.0000  0.0000  0.0000  6 Au 2.68


(2)
DFT (PBE-GGA) results for a relaxed structure of TmAl2Au9.

## Properties
Space-group type ... I4_1/amd

abc: 6.7822 8.8554 8.8554
angles: 81.57 67.48 67.48
With the nearest neighbours (Å) after each atom.
Fractional coordinates of all 24 atoms:
Tm  0.5000  0.0000  0.0000  10 Au 3.15-3.39
Tm  0.2500  0.5000  0.5000  10 Au 3.15-3.39
Al  0.8750  0.2500  0.7500  8 Au 2.60-2.85
Al  0.8750  0.7500  0.2500  8 Au 2.60-2.85
Al  0.8750  0.2500  0.2500  8 Au 2.60-2.85
Al  0.3750  0.7500  0.7500  8 Au 2.60-2.85
Au  0.7500  0.5000  0.5000  8 Au 2.90, 4 Al 3.01
Au  0.0000  0.0000  0.0000  8 Au 2.90, 4 Al 3.01
Au  0.9604  0.9457  0.6999  2 Al 2.60-2.85, 3 Au 2.73-2.90
Au  0.6060  0.0543  0.3001  2 Al 2.60-2.85, 3 Au 2.73-2.90
Au  0.6561  0.1999  0.5543  2 Al 2.60-2.85, 3 Au 2.73-2.90
Au  0.4103  0.8001  0.4457  2 Al 2.60-2.85, 3 Au 2.73-2.90
Au  0.7896  0.8001  0.5543  2 Al 2.60-2.85, 3 Au 2.73-2.90
Au  0.1440  0.1999  0.4457  2 Al 2.60-2.85, 3 Au 2.73-2.90
Au  0.0939  0.9457  0.3001  2 Al 2.60-2.85, 3 Au 2.73-2.90
Au  0.3397  0.0543  0.6999  2 Al 2.60-2.85, 3 Au 2.73-2.90
Au  0.7896  0.5543  0.8001  2 Al 2.60-2.85, 3 Au 2.73-2.90
Au  0.1440  0.4457  0.1999  2 Al 2.60-2.85, 3 Au 2.73-2.90
Au  0.0939  0.3001  0.9457  2 Al 2.60-2.85, 3 Au 2.73-2.90
Au  0.3397  0.6999  0.0543  2 Al 2.60-2.85, 3 Au 2.73-2.90
Au  0.9604  0.6999  0.9457  2 Al 2.60-2.85, 3 Au 2.73-2.90
Au  0.6060  0.3001  0.0543  2 Al 2.60-2.85, 3 Au 2.73-2.90
Au  0.6561  0.5543  0.1999  2 Al 2.60-2.85, 3 Au 2.73-2.90
Au  0.4103  0.4457  0.8001  2 Al 2.60-2.85, 3 Au 2.73-2.90


(3)
DFT (PBE-GGA) results for a relaxed structure of Tm2Al3Au4.

## Properties
Space-group type ... P2_1/c
E above lowest polymorph ... 0 meV/atom

abc: 7.2236 6.6969 7.5200
angles: 90.00 90.00 107.77
With the nearest neighbours (Å) after each atom.
Fractional coordinates of all 18 atoms:
Tm  0.5575  0.1896  0.3058  6 Au 2.95-3.10, 3 Al 3.21-3.26
Tm  0.9425  0.8104  0.8058  6 Au 2.95-3.10, 3 Al 3.21-3.26
Tm  0.4425  0.8104  0.6942  6 Au 2.95-3.10, 3 Al 3.21-3.26
Tm  0.0575  0.1896  0.1942  6 Au 2.95-3.10, 3 Al 3.21-3.26
Al  0.0000  0.5000  0.5000  4 Au 2.58-2.80
Al  0.5000  0.5000  0.0000  4 Au 2.58-2.80
Al  0.7391  0.2350  0.9051  6 Au 2.62-2.84, 1 Al 2.92
Al  0.7609  0.7650  0.4051  6 Au 2.62-2.84, 1 Al 2.92
Al  0.2609  0.7650  0.0949  6 Au 2.62-2.84, 1 Al 2.92
Al  0.2391  0.2350  0.5949  6 Au 2.62-2.84, 1 Al 2.92
Au  0.8266  0.1152  0.5845  4 Al 2.58-2.84
Au  0.6734  0.8848  0.0845  4 Al 2.58-2.84
Au  0.1734  0.8848  0.4155  4 Al 2.58-2.84
Au  0.3266  0.1152  0.9155  4 Al 2.58-2.84
Au  0.8787  0.5471  0.1528  5 Al 2.69-2.89
Au  0.6213  0.4529  0.6528  5 Al 2.69-2.89
Au  0.1213  0.4529  0.8472  5 Al 2.69-2.89
Au  0.3787  0.5471  0.3472  5 Al 2.69-2.89


(4)
DFT (PBE-GGA) results for a relaxed structure of Tm2Al5Au4.

## Properties
Space-group type ... Fmmm

abc: 5.3854 5.2999 9.1779
angles: 81.43 72.94 59.47
With the nearest neighbours (Å) after each atom.
Fractional coordinates of all 11 atoms:
Tm  0.8990  0.0000  0.2021  6 Au 3.12-3.13, 6 Al 3.19-3.22
Tm  0.1010  0.0000  0.7979  6 Au 3.12-3.13, 6 Al 3.19-3.22
Al  0.5000  0.0000  0.0000  4 Al 2.65, 4 Au 2.75
Al  0.0000  0.5000  0.0000  4 Al 2.65-2.69, 4 Au 2.79
Al  0.5000  0.5000  0.0000  4 Al 2.65-2.69, 4 Au 2.79
Al  0.2500  0.5000  0.5000  4 Au 2.59, 2 Al 2.69
Al  0.7500  0.5000  0.5000  4 Au 2.59, 2 Al 2.69
Au  0.4685  0.3268  0.7361  5 Al 2.59-2.79
Au  0.5315  0.6732  0.2639  5 Al 2.59-2.79
Au  0.2046  0.3268  0.2639  5 Al 2.59-2.79
Au  0.7954  0.6732  0.7361  5 Al 2.59-2.79


(5)
DFT (PBE-GGA) results for a relaxed structure of Tm3Al7Au4.

## Properties
Space-group type ... C2/m

abc: 4.2938 8.2403 8.3538
angles: 71.43 75.11 74.90
With the nearest neighbours (Å) after each atom.
Fractional coordinates of all 14 atoms:
Tm  0.3089  0.1915  0.1908  10 Al 3.10-3.44, 4 Au 3.12-3.15
Tm  0.6911  0.8085  0.8092  10 Al 3.10-3.44, 4 Au 3.12-3.15
Tm  0.0000  0.5000  0.5000  6 Au 3.11-3.14, 6 Al 3.31-3.39
Al  0.3254  0.8198  0.5293  4 Au 2.55-2.65, 1 Al 2.74
Al  0.4960  0.2061  0.8018  3 Au 2.57-2.72, 3 Al 2.74-2.87
Al  0.8473  0.3793  0.9261  3 Au 2.63-2.70, 3 Al 2.87-2.91
Al  0.6746  0.1802  0.4707  4 Au 2.55-2.65, 1 Al 2.74
Al  0.1527  0.6207  0.0739  3 Au 2.63-2.70, 3 Al 2.87-2.91
Al  0.0000  0.0000  0.0000  2 Au 2.70, 6 Al 2.91
Al  0.5040  0.7939  0.1982  3 Au 2.57-2.72, 3 Al 2.74-2.87
Au  0.6541  0.4634  0.2285  5 Al 2.55-2.70
Au  0.3459  0.5366  0.7715  5 Al 2.55-2.70
Au  0.8747  0.9033  0.3472  6 Al 2.59-2.72
Au  0.1253  0.0967  0.6528  6 Al 2.59-2.72


(6)
DFT (PBE-GGA) results for a relaxed structure of Tm4AlAu.

## Properties
Space-group type ... Cmc2_1

abc: 5.1315 6.2610 10.8928
angles: 90.00 103.62 90.00
With the nearest neighbours (Å) after each atom.
Fractional coordinates of all 12 atoms:
Tm  0.8777  0.2897  0.7553  2 Au 2.81, 1 Al 3.10
Tm  0.1223  0.7897  0.2447  2 Au 2.81, 1 Al 3.10
Tm  0.4389  0.8642  0.8778  2 Au 2.82-3.09
Tm  0.5611  0.3642  0.1222  2 Au 2.82-3.09
Tm  0.7140  0.5491  0.4280  5 Tm 3.08-3.44, 3 Al 3.13-3.18
Tm  0.2860  0.0491  0.5720  5 Tm 3.08-3.44, 3 Al 3.13-3.18
Tm  0.6923  0.0630  0.3846  1 Au 2.85, 2 Al 3.08, 1 Tm 3.08
Tm  0.3077  0.5630  0.6154  1 Au 2.85, 2 Al 3.08, 1 Tm 3.08
Al  0.8398  0.8116  0.6796  9 Tm 3.08-3.36
Al  0.1602  0.3116  0.3204  9 Tm 3.08-3.36
Au  0.5723  0.8559  0.1445  5 Tm 2.81-3.09
Au  0.4277  0.3559  0.8555  5 Tm 2.81-3.09


no.,energy of formation from the pure elements (meV/atom)
1,-660
2,-328
3,-702
4,-562
5,-663
6,-243